Here is a relaxed structure of Dy2Th2Ag from Alexandria. Energies are from PBE.

Computed properties:
final energy	-5.485	eV per atom
formation enthalpy at 0 K	-106	meV per atom
total magnetic moment	0.0	μB per formula unit

Lattice parameters (Å, degrees): 3.592 3.592 22.358 90.00 90.00 90.00
Space group I4/mmm (No. 139)
Symmetry-distinct sites (fractional):
Dy  0.000  0.000  0.084 [4 per cell]
Th  0.000  0.000  0.304 [4 per cell]
Ag  0.000  0.000  0.500 [2 per cell]